Here is CdTcWF2 after structural relaxation from the Alexandria database. Energies are from PBEsol.

Values from the calculation:
SG: No. 123
Total energy (eV for the cell shown): -27.29
E_form (uncorrected) (eV/f.u.): 2.84

```
5
Lattice="-0.3372 -3.8783 0.3963 3.8366 -0.2595 0.7248 -1.1595 0.7556 6.4083" Properties=species:S:1:pos:R:3 pbc="T T T"
F 1.9183 -0.1298 0.3624
Tc 1.1699 -1.6911 3.7647
F -0.1686 -1.9391 0.1981
W -0.5798 0.3778 3.2042
Cd 0.0000 0.0000 0.0000
```